[1]
This record from Alexandria via LeMat-Bulk describes an optimized crystal structure of KFeOs. The functional is GGA-PBE.

The calculation puts the total magnetic moment at 0.13 μB per formula unit. The value obtained for the electronic total energy is -4.94 eV/atom. For the energy above the most stable polymorph in this dataset, the calculation gives 1170 meV/atom.

CIF file:
```
data_KFeOs
_symmetry_space_group_name_H-M 'F -4 3 m'
_symmetry_Int_Tables_number 216
_symmetry_space_group_name_Hall 'F -4 2 3'
_cell_length_a 6.108
_cell_length_b 6.108
_cell_length_c 6.108
_cell_angle_alpha 90.00
_cell_angle_beta 90.00
_cell_angle_gamma 90.00
loop_
_atom_site_label
_atom_site_fract_x
_atom_site_fract_y
_atom_site_fract_z
K1 0.000 0.000 0.000
Fe1 0.250 0.250 0.750
Os1 0.000 0.000 0.500
```



[2]
This record from Alexandria via LeMat-Bulk describes an optimized crystal structure of K3FeOs. The functional is GGA-PBE.

The calculation puts the total magnetic moment at 5.02 μB per formula unit. The value obtained for the electronic total energy is -2.83 eV/atom.

CIF file:
```
data_K3FeOs
_symmetry_space_group_name_H-M 'P m -3 m'
_symmetry_Int_Tables_number 221
_symmetry_space_group_name_Hall '-P 4 2 3'
_cell_length_a 6.186
_cell_length_b 6.186
_cell_length_c 6.186
_cell_angle_alpha 90.00
_cell_angle_beta 90.00
_cell_angle_gamma 90.00
loop_
_atom_site_label
_atom_site_fract_x
_atom_site_fract_y
_atom_site_fract_z
K1 0.000 0.000 0.500
Fe1 0.500 0.500 0.500
Os1 0.000 0.000 0.000
```



[3]
This record from Alexandria via LeMat-Bulk describes an optimized crystal structure of KFeOs. The functional is GGA-PBE.

The calculation puts the total magnetic moment at 2.04 μB per formula unit. The value obtained for the electronic total energy is -6.11 eV/atom. For the energy above the most stable polymorph in this dataset, the calculation gives 0 meV/atom.

CIF file:
```
data_KFeOs
_symmetry_space_group_name_H-M 'I m m 2'
_symmetry_Int_Tables_number 44
_cell_length_a 2.671
_cell_length_b 3.868
_cell_length_c 12.223
_cell_angle_alpha 90.00
_cell_angle_beta 90.00
_cell_angle_gamma 90.00
loop_
_symmetry_equiv_pos_as_xyz
'x,y,z'
'-x,-y,z'
'-x,y,z'
'x,-y,z'
'x+1/2,y+1/2,z+1/2'
'-x+1/2,-y+1/2,z+1/2'
'-x+1/2,y+1/2,z+1/2'
'x+1/2,-y+1/2,z+1/2'
loop_
_atom_site_label
_atom_site_fract_x
_atom_site_fract_y
_atom_site_fract_z
K1 0.000 0.000 0.000
Fe1 0.000 0.000 0.278
Os1 0.000 0.000 0.720
```



[4]
This record from Alexandria via LeMat-Bulk describes an optimized crystal structure of KFeOs. The functional is GGA-PBE.

The calculation puts the total magnetic moment at 5.29 μB per formula unit. The value obtained for the electronic total energy is -4.01 eV/atom. For the energy above the most stable polymorph in this dataset, the calculation gives 2093 meV/atom.

CIF file:
```
data_KFeOs
_symmetry_space_group_name_H-M 'F -4 3 m'
_symmetry_Int_Tables_number 216
_symmetry_space_group_name_Hall 'F -4 2 3'
_cell_length_a 6.612
_cell_length_b 6.612
_cell_length_c 6.612
_cell_angle_alpha 90.00
_cell_angle_beta 90.00
_cell_angle_gamma 90.00
loop_
_atom_site_label
_atom_site_fract_x
_atom_site_fract_y
_atom_site_fract_z
K1 0.000 0.000 0.000
Fe1 0.250 0.250 0.250
Os1 0.250 0.250 0.750
```



Number 1: formation energy 1.993 eV/atom. Number 2: formation energy 1.770 eV/atom. Number 3: formation energy 0.823 eV/atom. Number 4: formation energy 2.916 eV/atom.